(1)
A geometry-optimized LaP2Br structure, computed with PBE-GGA.

Structure (POSCAR):
```
LaP2Br
1.0
3.8044 -2.1802 0.0000
3.8044 2.1802 0.0000
-1.7992 0.0000 7.6888
La P Br
1 2 1
direct
0.0000 0.0000 0.0000
0.2709 0.2709 0.8113
0.4938 0.4938 0.7061
0.7216 0.7216 0.2381
```

E ... -0.1954 hartree per atom
Relative energy among the computed polymorphs ... 0.05 eV/f.u.


(2)
A geometry-optimized Ac2In5Hg5 structure, computed with PBE-GGA.

Structure (POSCAR):
```
Ac2In5Hg5
1.0
5.0227 0.0000 0.0000
0.0000 6.2123 0.0000
0.0000 0.0000 10.7865
Ac In Hg
2 5 5
direct
0.0000 0.0000 0.0000
0.0000 0.5000 0.5000
0.5000 0.0000 0.5000
0.5000 0.2500 0.2464
0.5000 0.2500 0.7536
0.5000 0.7500 0.2464
0.5000 0.7500 0.7536
0.0000 0.0000 0.3339
0.0000 0.0000 0.6661
0.0000 0.5000 0.1651
0.0000 0.5000 0.8349
0.5000 0.5000 0.0000
```

E ... -0.0789 hartree per atom
DFT formation energy ... -196 meV per atom


(3)
A geometry-optimized V4Cr4W3 structure, computed with PBE-GGA.

Structure (POSCAR):
```
V4Cr4W3
1.0
-1.4600 4.0888 6.4559
1.4600 -4.0888 6.4559
1.4600 4.0888 -6.4559
V Cr W
4 4 3
direct
0.0430 0.8384 0.2046
0.3661 0.1616 0.2046
0.6339 0.8384 0.7954
0.9570 0.1616 0.7954
0.2319 0.7319 0.5000
0.2734 0.0000 0.2734
0.7266 0.0000 0.7266
0.7681 0.2681 0.5000
0.0000 0.5000 0.5000
0.3854 0.3854 0.0000
0.6146 0.6146 0.0000
```

E ... -0.3676 hartree per atom
DFT formation energy ... 344 meV per atom


(4)
A geometry-optimized MnAu2Cl structure, computed with PBE-GGA.

Structure (POSCAR):
```
MnAu2Cl
1.0
3.1468 0.0000 0.0000
0.0000 3.1468 0.0000
0.0000 0.0000 7.4517
Mn Au Cl
1 2 1
direct
0.0000 0.0000 0.0000
0.5000 0.5000 0.2220
0.5000 0.5000 0.7780
0.0000 0.0000 0.5000
```

E ... -0.1606 hartree per atom
Relative energy among the computed polymorphs ... 0.75 eV/f.u.


(5)
A geometry-optimized Tb2TmCd3 structure, computed with PBE-GGA.

Structure (POSCAR):
```
Tb2TmCd3
1.0
3.7369 0.0000 0.0000
0.0000 3.7369 0.0000
0.0000 0.0000 11.2307
Tb Tm Cd
2 1 3
direct
0.0000 0.0000 0.1683
0.0000 0.0000 0.8317
0.0000 0.0000 0.5000
0.5000 0.5000 0.0000
0.5000 0.5000 0.3384
0.5000 0.5000 0.6616
```

E ... -0.1125 hartree per atom
DFT formation energy ... -316 meV per atom


(6)
A geometry-optimized BaSrPb2 structure, computed with PBE-GGA.

Structure (POSCAR):
```
BaSrPb2
1.0
4.1135 0.0000 0.0000
0.0000 6.0730 0.0000
0.0000 0.0000 6.0748
Ba Sr Pb
1 1 2
direct
0.0000 0.0000 0.0000
0.0000 0.5000 0.4983
0.5000 0.0000 0.5003
0.5000 0.5000 0.9980
```

E ... -0.1191 hartree per atom
DFT formation energy ... -486 meV per atom


Copy entry 3 word for word.
A geometry-optimized V4Cr4W3 structure, computed with PBE-GGA.

Structure (POSCAR):
```
V4Cr4W3
1.0
-1.4600 4.0888 6.4559
1.4600 -4.0888 6.4559
1.4600 4.0888 -6.4559
V Cr W
4 4 3
direct
0.0430 0.8384 0.2046
0.3661 0.1616 0.2046
0.6339 0.8384 0.7954
0.9570 0.1616 0.7954
0.2319 0.7319 0.5000
0.2734 0.0000 0.2734
0.7266 0.0000 0.7266
0.7681 0.2681 0.5000
0.0000 0.5000 0.5000
0.3854 0.3854 0.0000
0.6146 0.6146 0.0000
```

E ... -0.3676 hartree per atom
DFT formation energy ... 344 meV per atom